No. 1
Below is a relaxed PrGe2 crystal, with properties calculated at the GGA-PBE level.

```
6
Lattice="-5.1578 -0.3483 -2.5339 -0.7786 -3.5464 -4.4678 -3.1955 -4.7489 0.6171" Properties=species:S:1:pos:R:3 pbc="T T T"
Pr -2.2830 -2.1609 -1.5961
Ge -5.3182 -3.6291 -1.7564
Ge -5.7075 -5.4023 -3.9904
Ge -4.1097 -3.0278 -4.2989
Pr 0.0000 0.0000 0.0000
Ge -3.1286 -5.2281 -2.7234
```

Properties
Size of the total moment, μB per cell: 0.30
E_form, meV per atom: -380

No. 2
Below is a relaxed Pr2Ge crystal, with properties calculated at the GGA-PBE level.

```
12
Lattice="4.3372 0.0000 0.0000 0.0000 9.5271 0.0000 -2.1686 0.0000 8.6835" Properties=species:S:1:pos:R:3 pbc="T T T"
Pr 0.0000 7.8217 6.4653
Pr 2.1686 1.4774 5.9449
Ge 2.1686 7.1091 0.7251
Ge 2.1686 6.1162 5.1593
Ge 0.0000 1.3526 3.5242
Pr 0.0000 0.0323 0.4912
Pr 2.1686 4.7958 8.1923
Pr 0.0000 4.0050 5.3027
Ge 0.0000 2.3456 7.9584
Pr 2.1686 3.0582 2.2182
Pr 2.1686 8.7686 3.3808
Pr 0.0000 6.2410 2.7387
```

Properties
Size of the total moment, μB per cell: 0.01
E_form, meV per atom: -553

No. 3
Below is a relaxed Pr2Ge3 crystal, with properties calculated at the GGA-PBE level.

```
10
Lattice="4.3878 0.0000 0.0000 0.0000 7.4777 0.0000 0.0000 0.0000 7.4777" Properties=species:S:1:pos:R:3 pbc="T T T"
Ge 0.0000 0.0000 0.0000
Ge 0.0000 0.9015 2.8373
Ge 0.0000 2.8373 6.5762
Ge 0.0000 3.7389 3.7389
Ge 0.0000 6.5762 4.6404
Pr 2.1939 2.3839 1.3549
Pr 2.1939 6.1228 2.3839
Pr 2.1939 1.3549 5.0938
Ge 0.0000 4.6404 0.9015
Pr 2.1939 5.0938 6.1228
```

Properties
Size of the total moment, μB per cell: 0.00
E_form, meV per atom: -704

No. 4
Below is a relaxed PrGe3 crystal, with properties calculated at the GGA-PBE level.

```
4
Lattice="-1.5909 -2.2621 3.0014 3.6206 0.8067 2.5271 -2.1661 3.9627 1.8384" Properties=species:S:1:pos:R:3 pbc="T T T"
Ge -0.8718 2.7238 4.3655
Ge -1.9401 3.5493 1.6466
Ge -1.9583 0.9963 2.4877
Pr 1.0236 1.8425 1.9312
```

Properties
Size of the total moment, μB per cell: 0.00
E_form, meV per atom: -419

No. 5
Below is a relaxed Pr2Ge3 crystal, with properties calculated at the GGA-PBE level.

```
5
Lattice="-1.6047 -1.6999 3.5597 -0.3943 -3.6199 -1.9064 5.6889 -4.5108 2.9579" Properties=species:S:1:pos:R:3 pbc="T T T"
Pr 2.6501 -7.1423 4.1525
Pr 1.1572 -2.7207 0.4961
Ge 1.1480 -5.6547 1.6383
Ge -1.1411 -5.0212 0.9089
Ge 2.7707 -4.2392 3.0457
```

Properties
Size of the total moment, μB per cell: 0.00
E_form, meV per atom: -691

No. 6
Below is a relaxed PrGe crystal, with properties calculated at the GGA-PBE level.

```
8
Lattice="-2.2898 -3.6443 -0.0365 3.5961 -2.2523 -0.7212 0.8969 1.8629 11.4980" Properties=species:S:1:pos:R:3 pbc="T T T"
Ge 0.5133 -0.3594 3.6818
Pr 1.2550 -3.3697 3.9381
Ge 1.6899 -3.6743 7.0585
Pr 1.9713 -1.2475 0.8820
Pr 3.1749 -2.0903 9.5159
Ge 0.1434 -2.7242 9.2231
Ge -0.8831 -2.0054 1.8595
Pr 0.9482 -0.6640 6.8022
```

Properties
Size of the total moment, μB per cell: 0.00
E_form, meV per atom: -811

No. 7
Below is a relaxed PrGePt4 crystal, with properties calculated at the GGA-PBE level.

```
12
Lattice="4.0328 0.0000 0.0000 0.0000 7.0787 0.0000 0.0000 0.0000 7.7454" Properties=species:S:1:pos:R:3 pbc="T T T"
Pt 2.0164 2.1698 7.3549
Pt 2.0164 2.1698 4.2632
Ge 0.0000 5.5409 1.9363
Pt 2.0164 4.9089 3.4822
Pt 0.0000 0.0000 0.0000
Pr 0.0000 2.5832 1.9363
Pt 2.0164 0.3209 1.9363
Pt 2.0164 6.7578 5.8090
Ge 0.0000 1.5378 5.8090
Pt 2.0164 4.9089 0.3905
Pt 0.0000 0.0000 3.8727
Pr 0.0000 4.4955 5.8090
```

Properties
Energy above the lowest structure with this stoichiometry, meV/atom: 23.6
Size of the total moment, μB per cell: 0.00
E_form, meV per atom: -713

No. 8
Below is a relaxed Pr3Ge7Pt2 crystal, with properties calculated at the GGA-PBE level.

```
12
Lattice="-1.0248 0.0034 -4.2417 -3.1945 -2.9860 0.7694 -7.1063 11.1798 1.7259" Properties=species:S:1:pos:R:3 pbc="T T T"
Ge -6.0421 2.8709 -0.7825
Ge 0.0000 0.0000 0.0000
Pt -6.9413 7.1076 -0.5619
Ge -5.2836 5.3263 -0.9638
Ge -2.0241 1.6556 -1.7543
Pr -2.1097 -1.4913 -1.7361
Pt -4.3843 1.0895 -1.1845
Pr -7.0881 4.6678 1.7163
Ge -6.9890 8.2283 1.6952
Pr -3.2127 3.5260 0.7790
Ge -9.3016 6.5415 0.0079
Ge -3.3118 -0.0345 0.8001
```

Properties
Size of the total moment, μB per cell: 0.00
E_form, meV per atom: -716

No. 9
Below is a relaxed Pr3Ge2Pt crystal, with properties calculated at the GGA-PBE level.

```
24
Lattice="4.4274 0.0000 0.0000 0.0000 11.8984 0.0000 0.0000 0.0000 12.0428" Properties=species:S:1:pos:R:3 pbc="T T T"
Pt 3.3205 10.3537 10.4992
Pr 3.3205 7.4577 11.3541
Pr 3.3205 11.2109 1.4368
Ge 3.3205 2.2669 0.2056
Pr 3.3205 6.6368 7.4582
Pr 1.1068 8.2292 2.5847
Ge 1.1068 9.6316 11.8372
Ge 3.3205 5.9487 2.2892
Pt 3.3205 7.4940 4.4778
Ge 3.3205 3.6823 6.2270
Ge 1.1068 5.9497 9.7536
Pr 1.1068 4.4407 0.6887
Pr 3.3205 3.6692 9.4581
Pr 3.3205 2.2800 3.4367
Pr 1.1068 9.6185 8.6061
Ge 3.3205 0.0005 8.3106
Pr 1.1068 0.6876 10.6060
Pr 3.3205 10.3899 5.3327
Pr 1.1068 5.2616 4.5846
Pt 1.1068 1.5448 1.5436
Pr 1.1068 1.5085 6.7101
Ge 1.1068 11.8979 3.7322
Ge 1.1068 8.2161 5.8158
Pt 1.1068 4.4044 7.5650
```

Properties
Size of the total moment, μB per cell: 1.72
E_form, meV per atom: -903

No. 10
Below is a relaxed Pr2Ge5Pt3 crystal, with properties calculated at the GGA-PBE level.

```
20
Lattice="6.3558 0.0000 0.0000 3.1779 7.9244 0.0031 3.1779 1.2253 7.8291" Properties=species:S:1:pos:R:3 pbc="T T T"
Pr 6.3558 1.8321 4.6985
Ge 6.3558 3.2277 7.4684
Ge 1.5890 2.0977 1.7956
Ge 4.7669 2.0977 1.7956
Pr 9.5338 4.2248 6.7467
Ge 3.1779 1.2728 5.7951
Ge 11.1227 7.0520 6.0365
Ge 7.9448 4.5748 3.9161
Pt 9.5338 6.5715 4.1280
Pt 6.3558 4.0574 1.9760
Ge 9.5338 7.8769 2.0370
Ge 7.9448 7.0520 6.0365
Pt 3.1779 2.5782 3.7041
Pr 6.3558 7.3176 3.1336
Pt 1.5890 0.0000 0.0000
Ge 4.7669 4.5748 3.9161
Ge 6.3558 5.9220 0.3637
Pr 3.1779 4.9249 1.0854
Pt 4.7669 0.0000 0.0000
Pt 6.3558 5.0923 5.8561
```

Properties
Size of the total moment, μB per cell: 0.00
E_form, meV per atom: -841

No. 11
Below is a relaxed PrGe4Pt2 crystal, with properties calculated at the GGA-PBE level.

```
28
Lattice="4.3673 0.0000 0.0000 0.0000 6.9636 0.0000 0.0000 0.0000 17.6135" Properties=species:S:1:pos:R:3 pbc="T T T"
Ge 1.0918 3.2745 7.6905
Ge 3.2755 4.4565 16.9649
Ge 1.0918 4.6885 11.9301
Pt 1.0918 5.3036 9.3084
Ge 1.0918 1.6468 3.4410
Pt 3.2755 1.6600 8.3051
Pt 3.2755 1.8218 17.1118
Ge 3.2755 5.3168 14.1724
Pr 1.0918 0.0982 6.3066
Pt 1.0918 3.7568 5.1104
Pt 1.0918 6.6887 13.9171
Ge 3.2755 1.2067 14.4901
Pr 1.0918 3.3836 15.1133
Pt 1.0918 5.1418 0.5016
Ge 1.0918 1.8350 12.2478
Ge 1.0918 2.5071 0.6486
Ge 3.2755 5.1286 5.3657
Ge 1.0918 0.9747 9.4553
Ge 3.2755 6.7563 1.1162
Pr 3.2755 3.5800 2.5001
Ge 3.2755 5.9889 8.1582
Ge 1.0918 0.2073 16.4973
Ge 3.2755 2.2752 5.6834
Pt 3.2755 3.2069 12.5031
Pt 3.2755 0.2750 3.6963
Ge 1.0918 5.7570 3.1233
Pr 3.2755 6.8654 11.3069
Ge 3.2755 3.6891 9.9229
```

Properties
Size of the total moment, μB per cell: 0.00
E_form, meV per atom: -624

No. 12
Below is a relaxed PrGe2Pt4 crystal, with properties calculated at the GGA-PBE level.

```
28
Lattice="4.0819 0.0000 0.0000 0.0000 7.5968 0.0000 0.0000 0.0000 16.7212" Properties=species:S:1:pos:R:3 pbc="T T T"
Pt 3.0614 4.2671 9.2424
Ge 3.0614 2.8769 11.3850
Pt 3.0614 7.1282 0.8818
Ge 3.0614 1.8789 16.4471
Ge 3.0614 1.9195 8.0866
Pr 1.0205 0.5803 5.8420
Ge 1.0205 5.6773 8.6346
Pt 1.0205 3.0570 0.6781
Pt 1.0205 0.7414 9.0387
Pr 1.0205 3.2181 14.2026
Pt 1.0205 0.4686 15.8393
Pr 3.0614 4.3787 2.5186
Ge 1.0205 6.6753 13.6967
Pt 3.0614 0.7382 13.8407
Pt 3.0614 4.5398 16.0430
Pt 1.0205 4.5366 11.2410
Pt 1.0205 1.3861 11.9172
Ge 1.0205 4.7200 5.3362
Pt 1.0205 6.8586 2.8805
Pr 3.0614 7.0165 10.8791
Ge 3.0614 0.9215 3.0244
Pt 1.0205 3.3298 7.4788
Pt 3.0614 3.0602 5.4801
Pt 3.0614 6.2108 4.8040
Pt 3.0614 6.8554 7.6825
Pt 3.0614 5.1845 13.1646
Ge 1.0205 5.7179 0.2740
Pt 1.0205 2.4123 3.5566
```

Properties
Energy above the lowest structure with this stoichiometry, meV/atom: 40.3
Size of the total moment, μB per cell: 0.00
E_form, meV per atom: -674

No. 13
Below is a relaxed Pr3Ge4Pt7 crystal, with properties calculated at the GGA-PBE level.

```
14
Lattice="-3.3592 -2.4922 -0.2904 0.5472 -3.3860 -7.5404 3.1845 -7.9031 0.7182" Properties=species:S:1:pos:R:3 pbc="T T T"
Pt 0.3542 -10.7462 -2.6790
Pt 0.9360 -8.1448 -1.4664
Pr -0.4661 -2.7478 -1.2956
Ge -1.2901 -4.9276 -3.3253
Ge 1.6626 -8.8538 -3.7873
Pt -0.5635 -5.6366 -5.6462
Pr 0.8386 -11.0336 -5.8170
Pt 1.1422 -7.8840 -6.0897
Ge -1.4603 -7.8225 -6.7810
Pt 0.0000 0.0000 0.0000
Ge 1.8328 -5.9588 -0.3316
Pt 0.0184 -3.0351 -4.4336
Pt -0.7697 -5.8973 -1.0229
Pr 1.8659 -5.6446 -3.4111
```

Properties
Size of the total moment, μB per cell: 0.00
E_form, meV per atom: -901

No. 14
Below is a relaxed Pr3Ge3Pt8 crystal, with properties calculated at the GGA-PBE level.

```
14
Lattice="4.2909 0.0000 1.1318 1.3316 7.5066 3.6513 0.0467 0.1067 8.5226" Properties=species:S:1:pos:R:3 pbc="T T T"
Pt 3.0874 5.1209 5.6947
Pt 4.3156 3.3116 9.7381
Pr 2.2752 5.6236 8.7737
Pr 0.0000 0.0000 0.0000
Ge 3.8122 5.0736 11.6467
Pt 0.7418 1.3008 5.8875
Pt 1.5751 0.3474 2.7282
Ge 0.6892 3.8067 6.0869
Pr 3.3941 1.9898 4.5319
Ge 1.8571 2.5397 1.6589
Pt 4.9275 6.3125 7.4182
Pt 2.5819 2.4925 7.6109
Pt 4.0942 7.2660 10.5775
Pt 1.3537 4.3017 3.5675
```

Properties
Size of the total moment, μB per cell: 0.00
E_form, meV per atom: -902

No. 15
Below is a relaxed PrGe2Pt6 crystal, with properties calculated at the GGA-PBE level.

```
9
Lattice="-2.5963 -0.4561 3.2425 0.5624 -4.1387 -0.1318 7.0017 0.7694 5.7146" Properties=species:S:1:pos:R:3 pbc="T T T"
Pt 2.2757 -1.8502 1.5620
Pt 2.4839 -1.9127 4.4126
Pt 5.2883 -1.5191 4.0208
Ge -0.0418 -2.1902 2.3513
Pt 3.5009 0.3847 2.8573
Pr 0.0000 0.0000 0.0000
Pt 3.7090 0.3222 5.7079
Ge 5.0096 -1.6351 6.4740
Pt 0.6964 -0.0089 3.2491
```

Properties
Size of the total moment, μB per cell: 0.00
E_form, meV per atom: -485

No. 16
Below is a relaxed PrGe3Pt3 crystal, with properties calculated at the GGA-PBE level.

```
14
Lattice="7.1630 0.0000 0.0000 3.5815 6.2033 0.0000 3.5815 2.0678 6.7977" Properties=species:S:1:pos:R:3 pbc="T T T"
Ge 5.7102 2.0374 4.9949
Pt 9.4428 4.0111 2.4554
Ge 8.6158 6.2337 1.8028
Pr 7.1630 4.1356 6.7948
Pt 4.8832 4.2600 4.3423
Pt 5.9153 2.2234 2.4554
Pt 8.1952 2.0990 4.3423
Ge 6.0723 6.4428 4.9949
Pt 6.1308 6.1721 2.4554
Pr 7.1630 4.1356 0.0029
Ge 4.6196 4.3446 1.8028
Ge 8.2537 1.8284 1.8028
Pt 8.4107 6.0477 4.3423
Ge 9.7064 3.9265 4.9949
```

Properties
Energy above the lowest structure with this stoichiometry, meV/atom: 0.0
Size of the total moment, μB per cell: 0.00
E_form, meV per atom: -590

No. 17
Below is a relaxed PrGe2Pt4 crystal, with properties calculated at the GGA-PBE level.

```
7
Lattice="4.2913 0.0000 0.0000 2.1456 3.7164 0.0000 2.1456 1.2388 8.3073" Properties=species:S:1:pos:R:3 pbc="T T T"
Pt 4.2913 2.4776 1.9777
Pt 6.4369 3.7164 3.4296
Pt 2.1456 1.2388 4.8778
Ge 6.4369 3.7164 5.9620
Ge 2.1456 1.2388 2.3453
Pt 4.2913 2.4776 6.3297
Pr 0.0000 0.0000 0.0000
```

Properties
Energy above the lowest structure with this stoichiometry, meV/atom: 0.0
Size of the total moment, μB per cell: 0.00
E_form, meV per atom: -715

No. 18
Below is a relaxed PrGe3Pt crystal, with properties calculated at the GGA-PBE level.

```
10
Lattice="-0.2168 3.1874 -3.5564 -2.7822 -3.9841 -3.4011 -6.3718 0.7790 4.2997" Properties=species:S:1:pos:R:3 pbc="T T T"
Ge -4.1915 0.6936 -2.3360
Ge -5.1793 -0.7114 -0.3218
Ge -3.6205 -2.4265 -1.9540
Pt -3.0643 -1.0761 -3.9908
Pt -6.3065 1.0584 1.3330
Pr -7.4942 0.5458 -2.2670
Ge -6.4521 -2.5341 -1.8778
Ge -2.9187 2.5163 -0.7800
Ge -5.7503 2.4087 -0.7037
Pr -1.8766 -0.5636 -0.3907
```

Properties
Size of the total moment, μB per cell: 0.00
E_form, meV per atom: -372

No. 19
Below is a relaxed Pr6Ge3Pt crystal, with properties calculated at the GGA-PBE level.

```
20
Lattice="6.9213 0.0000 -0.0993 0.0000 8.2589 0.0000 -0.0524 0.0000 10.7093" Properties=species:S:1:pos:R:3 pbc="T T T"
Pr 1.0834 0.4709 8.0423
Pr 5.7855 7.7880 2.5678
Pr 2.3657 6.7502 4.5534
Ge 3.4606 4.1295 -0.0496
Ge 3.8471 7.3164 7.8993
Ge 3.0218 0.9425 2.7107
Pr 2.2986 4.6003 7.9721
Pr 4.5032 1.5087 6.0566
Pr 4.4781 1.4558 9.8565
Ge 0.4126 5.0719 2.5943
Pr 2.3908 6.8031 0.7536
Pr 4.5702 3.6586 2.6380
Pr 1.0688 2.6207 0.7516
Pt 0.0000 0.0000 0.0000
Pr 1.0437 2.6737 4.5515
Pr 5.8252 5.5852 6.0586
Pt 3.4344 4.1295 5.3050
Ge -0.0262 0.0000 5.3547
Ge 6.4563 3.1870 8.0157
Pr 5.8001 5.6382 9.8584
```

Properties
Size of the total moment, μB per cell: 0.03
E_form, meV per atom: -654